The following is a PBE-GGA calculation of a relaxed structure of BaGaPt3, from the Alexandria database.

Structure (POSCAR):
```
BaGaPt3
1.0
6.564 0.000 0.000
0.000 6.180 0.000
0.000 -3.090 5.351
Pt Ga Ba
6 2 2
Cartesian
4.924 0.000 1.972 Pt
4.924 -1.382 4.366 Pt
1.641 1.708 0.986 Pt
1.641 3.090 3.380 Pt
4.924 1.382 4.366 Pt
1.641 4.472 0.986 Pt
6.564 0.000 0.000 Ga
3.282 0.000 0.000 Ga
4.923 3.090 1.784 Ba
1.642 0.000 3.567 Ba
```

Output
**E_form**: -0.5614 eV/atom
**ΔE to the lowest computed polymorph**: 0.0 meV per atom